No. 1
Computed, not measured: a relaxed ScFe2Mo crystal at the GGA-PBEsol level of DFT.

DOS at the Fermi energy: 4.23 states/eV/f.u.
Total DFT energy (no corrections): -36.150 eV/cell
Spin magnetization: 0.237 μB/atom
Symmetry: P4/mmm

Cell lengths 4.2843, 4.2843, 2.9096 Å; angles 90.00, 90.00, 90.00 degrees
Fractional positions:
Sc: 0.0000 0.0000 0.0000
Fe: 0.0000 0.5000 0.5000
Fe: 0.5000 0.0000 0.5000
Mo: 0.5000 0.5000 0.0000

No. 2
Computed, not measured: a relaxed Tm2NiIr crystal at the GGA-PBEsol level of DFT.

DOS at the Fermi energy: 1.85 states/eV/f.u.
Total DFT energy (no corrections): -114.545 eV/cell
Spin magnetization: 0.000 μB/atom
Symmetry: Fm-3m

Cell lengths 6.6114, 6.6114, 6.6114 Å; angles 90.00, 90.00, 90.00 degrees
Fractional positions:
Tm: 0.2500 0.2500 0.2500
Tm: 0.2500 0.2500 0.7500
Tm: 0.2500 0.7500 0.2500
Tm: 0.2500 0.7500 0.7500
Tm: 0.7500 0.2500 0.2500
Tm: 0.7500 0.2500 0.7500
Tm: 0.7500 0.7500 0.2500
Tm: 0.7500 0.7500 0.7500
Ni: 0.0000 0.0000 0.0000
Ni: 0.0000 0.5000 0.5000
Ni: 0.5000 0.0000 0.5000
Ni: 0.5000 0.5000 0.0000
Ir: 0.0000 0.0000 0.5000
Ir: 0.0000 0.5000 0.0000
Ir: 0.5000 0.0000 0.0000
Ir: 0.5000 0.5000 0.5000

No. 3
Computed, not measured: a relaxed Li3Ni crystal at the GGA-PBEsol level of DFT.

DOS at the Fermi energy: 1.87 states/eV/f.u.
Total DFT energy (no corrections): -23.210 eV/cell
Spin magnetization: 0.000 μB/atom
Symmetry: Imm2

Cell lengths 2.5959, 8.7783, 4.6616 Å; angles 90.00, 90.00, 90.00 degrees
Fractional positions:
Li: 0.0000 0.0000 0.0000
Li: 0.0000 0.2316 0.3564
Li: 0.0000 0.7684 0.3564
Li: 0.5000 0.2684 0.8564
Li: 0.5000 0.5000 0.5000
Li: 0.5000 0.7316 0.8564
Ni: 0.0000 0.5000 0.0189
Ni: 0.5000 0.0000 0.5189

No. 4
Computed, not measured: a relaxed Sr2CuP2O8 crystal at the GGA-PBEsol level of DFT.

DOS at the Fermi energy: 0.11 states/eV/f.u.
Formation energy without anion corrections: -2466.2 meV/atom
Spin magnetization: 0.078 μB/atom
Symmetry: C2/m

Cell lengths 6.2838, 6.2838, 6.5564 Å; angles 105.17, 105.17, 47.61 degrees
Fractional positions:
Sr: 0.1713 0.1713 0.2168
Sr: 0.8287 0.8287 0.7832
Cu: 0.5000 0.5000 0.5000
P: 0.1427 0.1427 0.7093
P: 0.8573 0.8573 0.2907
O: 0.0486 0.0486 0.8319
O: 0.1159 0.6224 0.4400
O: 0.2727 0.2727 0.8615
O: 0.3776 0.8841 0.5600
O: 0.6224 0.1159 0.4400
O: 0.7273 0.7273 0.1385
O: 0.8841 0.3776 0.5600
O: 0.9514 0.9514 0.1681

No. 5
Computed, not measured: a relaxed Cu2TcAs crystal at the GGA-PBEsol level of DFT.

DOS at the Fermi energy: 2.44 states/eV/f.u.
Total DFT energy (no corrections): -24.139 eV/cell
Spin magnetization: 0.000 μB/atom
Symmetry: P2/m

Cell lengths 2.6501, 4.2633, 4.8416 Å; angles 90.00, 104.51, 90.00 degrees
Fractional positions:
Cu: 0.1188 0.0000 0.2530
Cu: 0.8812 0.0000 0.7470
Tc: 0.5000 0.5000 0.0000
As: 0.0000 0.5000 0.5000

No. 6
Computed, not measured: a relaxed AlMoBr3 crystal at the GGA-PBEsol level of DFT.

DOS at the Fermi energy: 1.00 states/eV/f.u.
Formation energy without anion corrections: 460.0 meV/atom
Spin magnetization: 1.042 μB/atom
Symmetry: Pm-3m

Cell lengths 5.0966, 5.0966, 5.0966 Å; angles 90.00, 90.00, 90.00 degrees
Fractional positions:
Al: 0.0000 0.0000 0.0000
Mo: 0.5000 0.5000 0.5000
Br: 0.0000 0.0000 0.5000
Br: 0.0000 0.5000 0.0000
Br: 0.5000 0.0000 0.0000

No. 7
Computed, not measured: a relaxed LiTcBr2 crystal at the GGA-PBEsol level of DFT.

DOS at the Fermi energy: 1.83 states/eV/f.u.
Formation energy without anion corrections: 2.1 meV/atom
Spin magnetization: 0.946 μB/atom
Symmetry: R-3m

Cell lengths 3.5367, 3.5367, 21.7375 Å; angles 90.00, 90.00, 120.00 degrees
Fractional positions:
Li: 0.0000 0.0000 0.0000
Li: 0.3333 0.6667 0.6667
Li: 0.6667 0.3333 0.3333
Tc: 0.0000 0.0000 0.5000
Tc: 0.3333 0.6667 0.1667
Tc: 0.6667 0.3333 0.8333
Br: 0.0000 0.0000 0.2565
Br: 0.0000 0.0000 0.7435
Br: 0.3333 0.6667 0.4101
Br: 0.3333 0.6667 0.9232
Br: 0.6667 0.3333 0.0768
Br: 0.6667 0.3333 0.5899

No. 8
Computed, not measured: a relaxed LiCo3CuO8 crystal at the GGA-PBEsol level of DFT.

DOS at the Fermi energy: 8.24 states/eV/f.u.
Formation energy without anion corrections: -955.3 meV/atom
Spin magnetization: 0.125 μB/atom
Symmetry: C2/m

Cell lengths 5.6149, 5.6149, 5.8071 Å; angles 119.66, 119.66, 59.70 degrees
Fractional positions:
Li: 0.0000 0.0000 0.0000
Co: 0.0000 0.5000 0.5000
Co: 0.5000 0.0000 0.5000
Co: 0.5000 0.5000 0.5000
Cu: 0.0000 0.0000 0.5000
O: 0.2365 0.7262 0.7003
O: 0.2382 0.2382 0.6945
O: 0.2651 0.2651 0.3013
O: 0.2738 0.7635 0.2997
O: 0.7262 0.2365 0.7003
O: 0.7349 0.7349 0.6987
O: 0.7618 0.7618 0.3055
O: 0.7635 0.2738 0.2997